## Er2LuFe6Co3 (PBE)

Data for an optimized crystal structure of Er2LuFe6Co3.

Cell: 8.573 8.573 8.573 Å, 33.95 33.95 33.95°
Positions (direct):
Co 0.500 0.500 0.500
Co 0.667 0.667 0.667
Co 0.333 0.333 0.333
Er 0.858 0.858 0.858
Er 0.142 0.142 0.142
Fe 0.081 0.582 0.582
Fe 0.582 0.582 0.081
Fe 0.418 0.919 0.418
Fe 0.919 0.418 0.418
Fe 0.418 0.418 0.919
Fe 0.582 0.081 0.582
Lu 0.000 0.000 0.000

Symmetry ... R-3m (166)
ΔE_f ... -0.1491 eV per atom

## ErLu2FeCo8 (PBE)

Data for an optimized crystal structure of ErLu2FeCo8.

Cell: 8.429 8.429 8.429 Å, 34.23 34.23 34.23°
Positions (direct):
Co 0.921 0.415 0.415
Co 0.079 0.585 0.585
Co 0.585 0.079 0.585
Co 0.665 0.665 0.665
Co 0.335 0.335 0.335
Co 0.415 0.921 0.415
Co 0.415 0.415 0.921
Co 0.585 0.585 0.079
Lu 0.860 0.860 0.860
Lu 0.140 0.140 0.140
Er 0.000 0.000 0.000
Fe 0.500 0.500 0.500

Symmetry ... R-3m (166)
ΔE_f ... -0.2308 eV per atom

## Er3Fe6CoNi2 (PBE)

Data for an optimized crystal structure of Er3Fe6CoNi2.

Cell: 8.670 8.670 8.670 Å, 33.39 33.39 33.39°
Positions (direct):
Fe 0.417 0.417 0.918
Fe 0.583 0.082 0.583
Fe 0.583 0.583 0.082
Fe 0.417 0.918 0.417
Fe 0.918 0.417 0.417
Fe 0.082 0.583 0.583
Er 0.142 0.142 0.142
Er 0.000 0.000 0.000
Er 0.858 0.858 0.858
Co 0.500 0.500 0.500
Ni 0.667 0.667 0.667
Ni 0.333 0.333 0.333

Symmetry ... R-3m (166)
ΔE_f ... -0.1757 eV per atom

## Er3Fe6Co2Ni (PBE)

Data for an optimized crystal structure of Er3Fe6Co2Ni.

Cell: 8.644 8.644 8.644 Å, 33.61 33.61 33.61°
Positions (direct):
Ni 0.500 0.500 0.500
Fe 0.080 0.582 0.582
Fe 0.418 0.920 0.418
Fe 0.920 0.418 0.418
Fe 0.582 0.582 0.080
Fe 0.418 0.418 0.920
Fe 0.582 0.080 0.582
Er 0.858 0.858 0.858
Er 0.142 0.142 0.142
Er 0.000 0.000 0.000
Co 0.333 0.333 0.333
Co 0.667 0.667 0.667

Symmetry ... R-3m (166)
ΔE_f ... -0.1450 eV per atom

## Er3Fe2CoNi6 (PBE)

Data for an optimized crystal structure of Er3Fe2CoNi6.

Cell: 8.546 8.546 8.546 Å, 33.80 33.80 33.80°
Positions (direct):
Ni 0.917 0.419 0.419
Ni 0.581 0.581 0.083
Ni 0.083 0.581 0.581
Ni 0.419 0.419 0.917
Ni 0.581 0.083 0.581
Ni 0.419 0.917 0.419
Co 0.500 0.500 0.500
Fe 0.667 0.667 0.667
Fe 0.333 0.333 0.333
Er 0.860 0.860 0.860
Er 0.000 0.000 0.000
Er 0.140 0.140 0.140

Symmetry ... R-3m (166)
ΔE_f ... -0.3283 eV per atom

## Er3Fe2Co6Ni (PBE)

Data for an optimized crystal structure of Er3Fe2Co6Ni.

Cell: 8.509 8.509 8.509 Å, 34.03 34.03 34.03°
Positions (direct):
Ni 0.500 0.500 0.500
Er 0.000 0.000 0.000
Er 0.860 0.860 0.860
Er 0.140 0.140 0.140
Fe 0.334 0.334 0.334
Fe 0.666 0.666 0.666
Co 0.583 0.583 0.078
Co 0.078 0.583 0.583
Co 0.922 0.417 0.417
Co 0.417 0.417 0.922
Co 0.417 0.922 0.417
Co 0.583 0.078 0.583

Symmetry ... R-3m (166)
ΔE_f ... -0.2180 eV per atom

## YEr2FeCo6Ni2 (PBE)

Data for an optimized crystal structure of YEr2FeCo6Ni2.

Cell: 8.514 8.514 8.514 Å, 34.01 34.01 34.01°
Positions (direct):
Y 0.000 0.000 0.000
Co 0.416 0.416 0.920
Co 0.584 0.080 0.584
Co 0.080 0.584 0.584
Co 0.584 0.584 0.080
Co 0.920 0.416 0.416
Co 0.416 0.920 0.416
Er 0.140 0.140 0.140
Er 0.860 0.860 0.860
Ni 0.334 0.334 0.334
Ni 0.666 0.666 0.666
Fe 0.500 0.500 0.500

Symmetry ... R-3m (166)
ΔE_f ... -0.2331 eV per atom

## YEr2Fe2Co6Ni (PBE)

Data for an optimized crystal structure of YEr2Fe2Co6Ni.

Cell: 8.499 8.499 8.499 Å, 34.16 34.16 34.16°
Positions (direct):
Co 0.921 0.417 0.417
Co 0.417 0.417 0.921
Co 0.417 0.921 0.417
Co 0.583 0.583 0.079
Co 0.079 0.583 0.583
Co 0.583 0.079 0.583
Er 0.860 0.860 0.860
Er 0.140 0.140 0.140
Ni 0.500 0.500 0.500
Fe 0.335 0.335 0.335
Fe 0.665 0.665 0.665
Y 0.000 0.000 0.000

Symmetry ... R-3m (166)
ΔE_f ... -0.2073 eV per atom

## Y2ErFeCo6Ni2 (PBE)

Data for an optimized crystal structure of Y2ErFeCo6Ni2.

Cell: 8.548 8.548 8.548 Å, 33.83 33.83 33.83°
Positions (direct):
Ni 0.666 0.666 0.666
Ni 0.334 0.334 0.334
Co 0.582 0.582 0.081
Co 0.919 0.418 0.418
Co 0.418 0.418 0.919
Co 0.418 0.919 0.418
Co 0.582 0.081 0.582
Co 0.081 0.582 0.582
Er 0.000 0.000 0.000
Y 0.861 0.861 0.861
Y 0.139 0.139 0.139
Fe 0.500 0.500 0.500

Symmetry ... R-3m (166)
ΔE_f ... -0.2040 eV per atom

## Y2ErFe2Co6Ni (PBE)

Data for an optimized crystal structure of Y2ErFe2Co6Ni.

Cell: 8.532 8.532 8.532 Å, 34.07 34.07 34.07°
Positions (direct):
Co 0.920 0.420 0.420
Co 0.580 0.580 0.080
Co 0.580 0.080 0.580
Co 0.420 0.920 0.420
Co 0.080 0.580 0.580
Co 0.420 0.420 0.920
Fe 0.334 0.334 0.334
Fe 0.666 0.666 0.666
Y 0.860 0.860 0.860
Y 0.140 0.140 0.140
Er 0.000 0.000 0.000
Ni 0.500 0.500 0.500

Symmetry ... R-3m (166)
ΔE_f ... -0.1714 eV per atom

## Y2ErFe2CoNi6 (PBE)

Data for an optimized crystal structure of Y2ErFe2CoNi6.

Cell: 8.581 8.581 8.581 Å, 33.73 33.73 33.73°
Positions (direct):
Ni 0.421 0.421 0.916
Ni 0.916 0.421 0.421
Ni 0.421 0.916 0.421
Ni 0.579 0.579 0.084
Ni 0.579 0.084 0.579
Ni 0.084 0.579 0.579
Y 0.139 0.139 0.139
Y 0.861 0.861 0.861
Fe 0.332 0.332 0.332
Fe 0.668 0.668 0.668
Co 0.500 0.500 0.500
Er 0.000 0.000 0.000

Symmetry ... R-3m (166)
ΔE_f ... -0.2994 eV per atom

## ErFeCoP2 (PBE)

Data for an optimized crystal structure of ErFeCoP2.

Cell: 5.434 5.434 5.434 Å, 139.29 139.29 58.93°
Positions (direct):
Er 0.750 0.250 0.500
P 0.376 0.876 0.500
P 0.124 0.624 0.500
Fe 0.000 0.000 0.000
Co 0.500 0.500 0.000

Symmetry ... I-4m2 (119)
Total DFT energy (no corrections) ... -7.165 eV per atom

## Er2FeCoSi2 (PBE)

Data for an optimized crystal structure of Er2FeCoSi2.

Cell: 3.960 3.960 6.499 Å, 90.00 90.00 90.00°
Positions (direct):
Co 0.000 0.000 0.000
Er 0.500 0.000 0.319
Er 0.000 0.500 0.681
Si 0.000 0.500 0.188
Si 0.500 0.000 0.812
Fe 0.500 0.500 0.000

Symmetry ... P-4m2 (115)
Total DFT energy (no corrections) ... -6.622 eV per atom

## ErFeCoSi2 (PBE)

Data for an optimized crystal structure of ErFeCoSi2.

Cell: 5.503 5.503 5.503 Å, 138.46 138.46 60.20°
Positions (direct):
Si 0.119 0.619 0.500
Si 0.381 0.881 0.500
Fe 0.500 0.500 0.000
Er 0.750 0.250 0.500
Co 0.000 0.000 0.000

Symmetry ... I-4m2 (119)
Total DFT energy (no corrections) ... -6.940 eV per atom

## Er2FeCoSi4 (PBE)

Data for an optimized crystal structure of Er2FeCoSi4.

Cell: 3.923 8.448 8.448 Å, 27.29 90.00 90.00°
Positions (direct):
Si 0.500 0.542 0.542
Si 0.000 0.457 0.457
Si 0.500 0.250 0.250
Si 0.000 0.751 0.751
Co 0.000 0.323 0.323
Er 0.000 0.108 0.108
Er 0.500 0.891 0.891
Fe 0.500 0.677 0.677

Symmetry ... Amm2 (38)
Total DFT energy (no corrections) ... -6.470 eV per atom

## ErTm2Fe2Co7 (PBE)

Data for an optimized crystal structure of ErTm2Fe2Co7.

Cell: 8.398 8.398 8.398 Å, 34.71 34.71 34.71°
Positions (direct):
Fe 0.334 0.334 0.334
Fe 0.666 0.666 0.666
Co 0.584 0.584 0.079
Co 0.584 0.079 0.584
Co 0.416 0.416 0.921
Co 0.079 0.584 0.584
Co 0.500 0.500 0.500
Co 0.921 0.416 0.416
Co 0.416 0.921 0.416
Tm 0.141 0.141 0.141
Tm 0.859 0.859 0.859
Er 0.000 0.000 0.000

Symmetry ... R-3m (166)
ΔE_f ... -0.2182 eV per atom

## Er2TmFe2Co7 (PBE)

Data for an optimized crystal structure of Er2TmFe2Co7.

Cell: 8.423 8.423 8.423 Å, 34.57 34.57 34.57°
Positions (direct):
Fe 0.334 0.334 0.334
Fe 0.666 0.666 0.666
Er 0.140 0.140 0.140
Er 0.860 0.860 0.860
Co 0.921 0.416 0.416
Co 0.500 0.500 0.500
Co 0.416 0.921 0.416
Co 0.584 0.584 0.079
Co 0.584 0.079 0.584
Co 0.416 0.416 0.921
Co 0.079 0.584 0.584
Tm 0.000 0.000 0.000

Symmetry ... R-3m (166)
ΔE_f ... -0.2097 eV per atom

## ErTm2FeCo8 (PBE)

Data for an optimized crystal structure of ErTm2FeCo8.

Cell: 8.458 8.458 8.458 Å, 34.16 34.16 34.16°
Positions (direct):
Co 0.334 0.334 0.334
Co 0.666 0.666 0.666
Co 0.584 0.584 0.078
Co 0.416 0.922 0.416
Co 0.416 0.416 0.922
Co 0.922 0.416 0.416
Co 0.584 0.078 0.584
Co 0.078 0.584 0.584
Er 0.000 0.000 0.000
Fe 0.500 0.500 0.500
Tm 0.860 0.860 0.860
Tm 0.140 0.140 0.140

Symmetry ... R-3m (166)
ΔE_f ... -0.2139 eV per atom

## Er2TmFe3Co6 (PBE)

Data for an optimized crystal structure of Er2TmFe3Co6.

Cell: 8.377 8.377 8.377 Å, 34.98 34.98 34.98°
Positions (direct):
Co 0.583 0.080 0.583
Co 0.080 0.583 0.583
Co 0.417 0.417 0.920
Co 0.417 0.920 0.417
Co 0.583 0.583 0.080
Co 0.920 0.417 0.417
Fe 0.500 0.500 0.500
Fe 0.667 0.667 0.667
Fe 0.333 0.333 0.333
Er 0.859 0.859 0.859
Er 0.141 0.141 0.141
Tm 0.000 0.000 0.000

Symmetry ... R-3m (166)
ΔE_f ... -0.2098 eV per atom

## Er2TmFe6Co3 (PBE)

Data for an optimized crystal structure of Er2TmFe6Co3.

Cell: 8.578 8.578 8.578 Å, 33.95 33.95 33.95°
Positions (direct):
Fe 0.418 0.418 0.919
Fe 0.418 0.919 0.418
Fe 0.919 0.418 0.418
Fe 0.582 0.582 0.081
Fe 0.582 0.081 0.582
Fe 0.081 0.582 0.582
Co 0.500 0.500 0.500
Co 0.333 0.333 0.333
Co 0.667 0.667 0.667
Tm 0.000 0.000 0.000
Er 0.858 0.858 0.858
Er 0.142 0.142 0.142

Symmetry ... R-3m (166)
ΔE_f ... -0.1466 eV per atom